Density functional theory data (GGA-PBE) for an optimized crystal structure of Pr2Ga6Au3.

abc: 7.953 7.953 4.243
angles: 90.00 90.00 120.00
Element x y z (fractional)
Pr  0.333  0.667  0.000
Pr  0.667  0.333  0.000
Ga  0.000  0.308  0.500
Ga  0.000  0.813  0.000
Ga  0.187  0.187  0.000
Ga  0.308  0.000  0.500
Ga  0.692  0.692  0.500
Ga  0.813  0.000  0.000
Au  0.000  0.632  0.500
Au  0.368  0.368  0.500
Au  0.632  0.000  0.500

Results
**Formation energy**: -6.14 eV/f.u.
**Density of states at the Fermi level**: 3.2 states/eV/cell
**Magnetization**: 0.00 μB/cell



Density functional theory data (GGA-PBE) for an optimized crystal structure of PrGa4Au2.

abc: 17.569 4.524 6.931
angles: 90.00 90.00 90.00
Element x y z (fractional)
Pr  0.141  0.250  0.012
Pr  0.359  0.750  0.512
Pr  0.641  0.250  0.488
Pr  0.859  0.750  0.988
Ga  0.038  0.750  0.848
Ga  0.065  0.250  0.468
Ga  0.182  0.750  0.322
Ga  0.186  0.750  0.723
Ga  0.314  0.250  0.223
Ga  0.318  0.250  0.822
Ga  0.435  0.750  0.968
Ga  0.462  0.250  0.348
Ga  0.538  0.750  0.652
Ga  0.565  0.250  0.032
Ga  0.682  0.750  0.178
Ga  0.686  0.750  0.777
Ga  0.814  0.250  0.277
Ga  0.818  0.250  0.678
Ga  0.935  0.750  0.532
Ga  0.962  0.250  0.152
Au  0.032  0.750  0.243
Au  0.215  0.250  0.527
Au  0.285  0.750  0.027
Au  0.468  0.250  0.743
Au  0.532  0.750  0.257
Au  0.715  0.250  0.973
Au  0.785  0.750  0.473
Au  0.968  0.250  0.757

Results
**Formation energy**: -3.60 eV/f.u.
**Density of states at the Fermi level**: 10.6 states/eV/cell
**Magnetization**: 0.00 μB/cell



Density functional theory data (GGA-PBE) for an optimized crystal structure of PrGa3Au2.

abc: 8.484 8.484 7.437
angles: 115.65 115.65 31.30
Element x y z (fractional)
Pr  0.134  0.134  0.166
Pr  0.866  0.866  0.834
Ga  0.030  0.030  0.683
Ga  0.319  0.319  0.105
Ga  0.341  0.341  0.517
Ga  0.659  0.659  0.483
Ga  0.681  0.681  0.895
Ga  0.970  0.970  0.317
Au  0.203  0.203  0.695
Au  0.492  0.492  0.182
Au  0.508  0.508  0.818
Au  0.797  0.797  0.305

Results
**Formation energy**: -3.11 eV/f.u.
**Density of states at the Fermi level**: 5.5 states/eV/cell
**Magnetization**: 0.00 μB/cell



Density functional theory data (GGA-PBE) for an optimized crystal structure of PrGa2Au.

abc: 5.384 5.384 3.700
angles: 90.00 90.00 120.10
Element x y z (fractional)
Pr  0.000  0.000  0.000
Ga  0.000  0.500  0.500
Ga  0.500  0.000  0.500
Au  0.500  0.500  0.500

Results
**Formation energy**: -1.78 eV/f.u.
**Density of states at the Fermi level**: 2.2 states/eV/cell
**Magnetization**: 0.00 μB/cell